Model i:
## CrFe4Ni (GGA-PBE)

Data for an optimized crystal structure of CrFe4Ni.

Summary:
SG: C2/m

Cell: 2.3935 9.3421 7.3517 Å, 120.39 99.37 90.00°
With the nearest neighbours (Å) after each atom.
Fractional positions:
Fe 0.0005 0.1271 0.0011  4 Fe 2.29-2.39, 2 Ni 2.42-2.45
Fe 0.9995 0.8729 0.9989  4 Fe 2.29-2.39, 2 Ni 2.42-2.45
Fe 0.9992 0.6271 0.9983  4 Fe 2.29-2.39, 2 Cr 2.43
Fe 0.3333 0.6204 0.6666  8 Fe 2.39-2.66, 3 Cr 2.46-2.67, 2 Ni 2.58
Cr 0.8303 0.3625 0.6605  2 Cr 2.39, 7 Fe 2.43-2.67, 2 Ni 2.49
Fe 0.0008 0.3729 0.0017  4 Fe 2.29-2.39, 2 Cr 2.43
Fe 0.6667 0.3796 0.3334  8 Fe 2.39-2.66, 3 Cr 2.46-2.67, 2 Ni 2.58
Fe 0.6650 0.8871 0.3300  8 Fe 2.39-2.67, 3 Ni 2.51-2.60, 2 Cr 2.65
Cr 0.1697 0.6375 0.3395  2 Cr 2.39, 7 Fe 2.43-2.67, 2 Ni 2.49
Ni 0.8287 0.8615 0.6575  2 Ni 2.39, 7 Fe 2.42-2.60, 2 Cr 2.49
Ni 0.1713 0.1385 0.3425  2 Ni 2.39, 7 Fe 2.42-2.60, 2 Cr 2.49
Fe 0.3350 0.1129 0.6700  8 Fe 2.39-2.67, 3 Ni 2.51-2.60, 2 Cr 2.65

***

Model ii:
## CrFe4Ni (GGA-PBE)

Data for an optimized crystal structure of CrFe4Ni.

Summary:
SG: F-43m

Cell: 4.6372 4.6372 4.6372 Å, 60.00 60.00 60.00°
With the nearest neighbours (Å) after each atom.
Fractional positions:
Fe 0.6243 0.6243 0.1270  6 Fe 2.31-2.33
Ni 0.2500 0.2500 0.2500  12 Fe 2.72, 4 Cr 2.84
Fe 0.6243 0.6243 0.6243  6 Fe 2.31-2.33
Cr 0.0000 0.0000 0.0000  12 Fe 2.72, 4 Ni 2.84
Fe 0.6243 0.1270 0.6243  6 Fe 2.31-2.33
Fe 0.1270 0.6243 0.6243  6 Fe 2.31-2.33

***

Of them, the most stable is model ii and the least stable is model i.

***

Model i:
## CrFe2Ni2 (GGA-PBE)

Data for an optimized crystal structure of CrFe2Ni2.

Summary:
SG: P4/mbm

Cell: 6.6894 6.6894 2.4844 Å, 90.00 90.00 90.00°
With the nearest neighbours (Å) after each atom.
Fractional positions:
Fe 0.1728 0.6728 0.5000  6 Ni 2.28-2.37, 2 Fe 2.48
Ni 0.3748 0.8748 0.0000  6 Fe 2.28-2.37, 3 Ni 2.37-2.48
Fe 0.6728 0.8272 0.5000  6 Ni 2.28-2.37, 2 Fe 2.48
Ni 0.1252 0.3748 0.0000  6 Fe 2.28-2.37, 3 Ni 2.37-2.48
Cr 0.5000 0.5000 0.0000  2 Cr 2.48, 4 Ni 2.64, 8 Fe 2.77
Fe 0.8272 0.3272 0.5000  6 Ni 2.28-2.37, 2 Fe 2.48
Cr 0.0000 0.0000 0.0000  2 Cr 2.48, 4 Ni 2.64, 8 Fe 2.77
Ni 0.6252 0.1252 0.0000  6 Fe 2.28-2.37, 3 Ni 2.37-2.48
Ni 0.8748 0.6252 0.0000  6 Fe 2.28-2.37, 3 Ni 2.37-2.48
Fe 0.3272 0.1728 0.5000  6 Ni 2.28-2.37, 2 Fe 2.48

***

Model ii:
## CrFe2Ni2 (GGA-PBE)

Data for an optimized crystal structure of CrFe2Ni2.

Summary:
SG: P-1

Cell: 4.3902 5.6495 6.6062 Å, 65.47 77.32 49.99°
With the nearest neighbours (Å) after each atom.
Fractional positions:
Cr 0.7535 0.5001 0.2527  6 Fe 2.48-2.54, 6 Ni 2.52-2.55
Cr 0.2465 0.4999 0.7473  6 Fe 2.48-2.54, 6 Ni 2.52-2.55
Fe 0.4494 0.1029 0.1489  3 Fe 2.49-2.56, 6 Ni 2.50-2.55, 3 Cr 2.53-2.54
Ni 0.9550 0.0981 0.6504  6 Fe 2.49-2.57, 3 Ni 2.49-2.50, 3 Cr 2.52-2.55
Fe 0.5506 0.8971 0.8511  3 Fe 2.49-2.56, 6 Ni 2.50-2.55, 3 Cr 2.53-2.54
Fe 0.6427 0.6957 0.5547  3 Cr 2.48-2.53, 4 Fe 2.49-2.59, 5 Ni 2.49-2.57
Ni 0.8483 0.2966 0.9519  4 Ni 2.49-2.52, 5 Fe 2.50-2.54, 3 Cr 2.52-2.55
Ni 0.0450 0.9019 0.3496  6 Fe 2.49-2.57, 3 Ni 2.49-2.50, 3 Cr 2.52-2.55
Fe 0.3573 0.3043 0.4453  3 Cr 2.48-2.53, 4 Fe 2.49-2.59, 5 Ni 2.49-2.57
Ni 0.1517 0.7034 0.0481  4 Ni 2.49-2.52, 5 Fe 2.50-2.54, 3 Cr 2.52-2.55

***

Model iii:
## CrFe2Ni2 (GGA-PBE)

Data for an optimized crystal structure of CrFe2Ni2.

Summary:
SG: P4/mbm

Cell: 6.8639 6.8639 2.5544 Å, 90.00 90.00 90.00°
With the nearest neighbours (Å) after each atom.
Fractional positions:
Fe 0.6213 0.1213 0.0000  3 Fe 2.35-2.55, 6 Ni 2.36-2.43
Ni 0.6747 0.8253 0.5000  6 Fe 2.36-2.43, 2 Ni 2.55
Cr 0.5000 0.5000 0.0000  2 Cr 2.55, 4 Fe 2.73, 8 Ni 2.84
Ni 0.1747 0.6747 0.5000  6 Fe 2.36-2.43, 2 Ni 2.55
Fe 0.1213 0.3787 0.0000  3 Fe 2.35-2.55, 6 Ni 2.36-2.43
Ni 0.3253 0.1747 0.5000  6 Fe 2.36-2.43, 2 Ni 2.55
Cr 0.0000 0.0000 0.0000  2 Cr 2.55, 4 Fe 2.73, 8 Ni 2.84
Fe 0.8787 0.6213 0.0000  3 Fe 2.35-2.55, 6 Ni 2.36-2.43
Fe 0.3787 0.8787 0.0000  3 Fe 2.35-2.55, 6 Ni 2.36-2.43
Ni 0.8253 0.3253 0.5000  6 Fe 2.36-2.43, 2 Ni 2.55

***

Of them, the most stable is model ii and the least stable is model i.

***

Model i:
## Cr2Fe2Ni (GGA-PBE)

Data for an optimized crystal structure of Cr2Fe2Ni.

Summary:
SG: P4/mbm

Cell: 6.5725 6.5725 2.6129 Å, 90.00 90.00 90.00°
With the nearest neighbours (Å) after each atom.
Fractional positions:
Cr 0.1675 0.6675 0.5000  6 Fe 2.26-2.38
Fe 0.6341 0.1341 0.0000  6 Cr 2.26-2.38, 1 Fe 2.49
Ni 0.5000 0.5000 0.0000  4 Fe 2.56, 2 Ni 2.61, 8 Cr 2.77
Cr 0.3325 0.1675 0.5000  6 Fe 2.26-2.38
Fe 0.3659 0.8659 0.0000  6 Cr 2.26-2.38, 1 Fe 2.49
Ni 0.0000 0.0000 0.0000  4 Fe 2.56, 2 Ni 2.61, 8 Cr 2.77
Cr 0.8325 0.3325 0.5000  6 Fe 2.26-2.38
Cr 0.6675 0.8325 0.5000  6 Fe 2.26-2.38
Fe 0.1341 0.3659 0.0000  6 Cr 2.26-2.38, 1 Fe 2.49
Fe 0.8659 0.6341 0.0000  6 Cr 2.26-2.38, 1 Fe 2.49

***

Model ii:
## Cr2Fe2Ni (GGA-PBE)

Data for an optimized crystal structure of Cr2Fe2Ni.

Summary:
SG: P4/mbm

Cell: 6.7101 6.7101 2.5412 Å, 90.00 90.00 90.00°
With the nearest neighbours (Å) after each atom.
Fractional positions:
Fe 0.6629 0.8371 0.5000  6 Cr 2.30-2.38, 2 Fe 2.54
Fe 0.1629 0.6629 0.5000  6 Cr 2.30-2.38, 2 Fe 2.54
Cr 0.8650 0.6350 0.0000  6 Fe 2.30-2.38, 3 Cr 2.54-2.56
Cr 0.6350 0.1350 0.0000  6 Fe 2.30-2.38, 3 Cr 2.54-2.56
Fe 0.8371 0.3371 0.5000  6 Cr 2.30-2.38, 2 Fe 2.54
Ni 0.0000 0.0000 0.0000  2 Ni 2.54, 4 Cr 2.61, 8 Fe 2.82
Cr 0.3650 0.8650 0.0000  6 Fe 2.30-2.38, 3 Cr 2.54-2.56
Fe 0.3371 0.1629 0.5000  6 Cr 2.30-2.38, 2 Fe 2.54
Cr 0.1350 0.3650 0.0000  6 Fe 2.30-2.38, 3 Cr 2.54-2.56
Ni 0.5000 0.5000 0.0000  2 Ni 2.54, 4 Cr 2.61, 8 Fe 2.82

***

Of them, the most stable is model i and the least stable is model ii.